[1]
! LiFeRuW2 PBE relaxed; values from VASP
! DFT formation energy = 7.04 eV/f.u.
! DOS(E_F) = 5.641 states/eV per cell
! ρ = 12793 kg/m³
&SYSTEM
  ibrav = 0, nat = 5, ntyp = 4
/
ATOMIC_SPECIES
Ru 101.07 Ru.upf
Fe 55.84 Fe.upf
W 183.84 W.upf
Li 6.94 Li.upf
CELL_PARAMETERS angstrom
4.177 0.000 0.000
0.000 3.954 0.000
0.000 0.000 4.177
ATOMIC_POSITIONS angstrom
Ru 0.000 1.977 0.000
Fe 2.089 1.977 2.089
W 0.000 0.000 2.089
W 2.089 0.000 0.000
Li 0.000 0.000 0.000


[2]
! FeTcNi2 PBE relaxed; values from VASP
! DFT formation energy = 0.43 eV/f.u.
! Distance to the lowest polymorph of the same formula = 111 meV/atom
! DOS(E_F) = 5.304 states/eV per cell
! ρ = 9233 kg/m³
&SYSTEM
  ibrav = 0, nat = 4, ntyp = 3
/
ATOMIC_SPECIES
Fe 55.84 Fe.upf
Ni 58.69 Ni.upf
Tc 98.00 Tc.upf
CELL_PARAMETERS angstrom
-3.212 -5.169 5.934
-1.054 -6.499 5.376
-0.976 -4.564 7.104
ATOMIC_POSITIONS angstrom
Fe -3.932 -12.174 13.810
Ni -0.011 -0.034 0.039
Ni -2.610 -8.082 9.168
Tc -1.311 -4.058 4.603


[3]
! PuHf5Sc12 PBE relaxed; values from VASP
! DFT formation energy = 0.33 eV/f.u.
! DOS(E_F) = 28.416 states/eV per cell
! ρ = 6572 kg/m³
&SYSTEM
  ibrav = 0, nat = 18, ntyp = 3
/
ATOMIC_SPECIES
Pu 244.00 Pu.upf
Hf 178.49 Hf.upf
Sc 44.96 Sc.upf
CELL_PARAMETERS angstrom
-1.288 -0.528 -5.428
-4.844 -2.381 -1.512
-6.510 14.107 2.103
ATOMIC_POSITIONS angstrom
Pu 0.000 0.000 0.000
Hf -3.899 6.790 -1.663
Hf -6.705 5.375 -0.860
Hf -5.937 5.823 -3.978
Hf -4.088 -1.939 -4.627
Hf -2.043 -0.969 -2.314
Sc -5.465 8.895 -3.426
Sc -2.333 4.685 0.101
Sc -6.230 11.467 -1.569
Sc -1.568 2.112 -1.757
Sc -9.032 10.055 -0.760
Sc -4.372 0.699 -0.961
Sc -8.269 10.500 -3.877
Sc -3.610 1.144 -4.077
Sc -4.388 3.740 -2.213
Sc -6.433 2.770 -4.526
Sc -6.208 8.429 -0.311
Sc -8.253 7.459 -2.624


[4]
! ScTlRh2 PBE relaxed; values from VASP
! DFT formation energy = -1.00 eV/f.u.
! Distance to the lowest polymorph of the same formula = 338 meV/atom
! DOS(E_F) = 2.454 states/eV per cell
! ρ = 10278 kg/m³
&SYSTEM
  ibrav = 0, nat = 4, ntyp = 3
/
ATOMIC_SPECIES
Rh 102.91 Rh.upf
Sc 44.96 Sc.upf
Tl 204.38 Tl.upf
CELL_PARAMETERS angstrom
-5.894 2.164 -5.933
-3.599 1.001 -7.789
-5.687 -0.962 -6.431
ATOMIC_POSITIONS angstrom
Rh -15.095 2.191 -20.040
Rh -7.675 1.114 -10.190
Sc -3.795 0.551 -5.038
Tl -11.385 1.653 -15.115


[5]
! Dy6MgAg PBE relaxed; values from VASP
! DFT formation energy = -0.54 eV/f.u.
! Distance to the lowest polymorph of the same formula = 0 meV/atom
! DOS(E_F) = 8.851 states/eV per cell
! ρ = 8037 kg/m³
&SYSTEM
  ibrav = 0, nat = 8, ntyp = 3
/
ATOMIC_SPECIES
Dy 162.50 Dy.upf
Mg 24.30 Mg.upf
Ag 107.87 Ag.upf
CELL_PARAMETERS angstrom
5.230 2.910 7.546
-1.777 2.987 8.983
-1.525 -6.325 -7.102
ATOMIC_POSITIONS angstrom
Dy 0.870 1.486 4.166
Dy 3.190 0.578 6.626
Dy -0.313 0.616 7.344
Dy -1.262 -1.005 2.801
Dy 2.583 4.411 12.364
Dy 2.241 -1.043 2.083
Mg 1.727 2.949 8.265
Ag 0.000 0.000 0.000


[6]
! Tl2HBr PBE relaxed; values from VASP
! Distance to the lowest polymorph of the same formula = 139 meV/atom
! DOS(E_F) = 0.000 states/eV per cell
! ρ = 7352 kg/m³
&SYSTEM
  ibrav = 0, nat = 4, ntyp = 3
/
ATOMIC_SPECIES
H 1.01 H.upf
Tl 204.38 Tl.upf
Br 79.90 Br.upf
CELL_PARAMETERS angstrom
-0.015 -5.343 0.693
1.818 -2.124 4.605
-3.447 -2.257 3.472
ATOMIC_POSITIONS angstrom
H 0.000 0.000 0.000
Tl -0.411 -2.431 2.193
Tl -1.233 -7.293 6.578
Br -0.822 -4.862 4.385


[7]
! Sc2ZnP PBE relaxed; values from VASP
! DFT formation energy = 0.13 eV/f.u.
! Distance to the lowest polymorph of the same formula = 887 meV/atom
! DOS(E_F) = 5.147 states/eV per cell
! ρ = 4233 kg/m³
&SYSTEM
  ibrav = 0, nat = 4, ntyp = 3
/
ATOMIC_SPECIES
Sc 44.96 Sc.upf
Zn 65.41 Zn.upf
P 30.97 P.upf
CELL_PARAMETERS angstrom
0.000 3.318 3.318
3.318 0.000 3.318
3.318 3.318 0.000
ATOMIC_POSITIONS angstrom
Sc 0.000 0.000 0.000
Sc 1.659 1.659 1.659
Zn 4.977 4.977 4.977
P 3.318 3.318 3.318


[8]
! HfCoAgOs2 PBE relaxed; values from VASP
! DFT formation energy = 5.36 eV/f.u.
! DOS(E_F) = 5.339 states/eV per cell
! ρ = 13453 kg/m³
&SYSTEM
  ibrav = 0, nat = 5, ntyp = 4
/
ATOMIC_SPECIES
Hf 178.49 Hf.upf
Os 190.23 Os.upf
Ag 107.87 Ag.upf
Co 58.93 Co.upf
CELL_PARAMETERS angstrom
-2.961 2.144 -2.488
0.134 -3.389 -3.080
-3.282 -2.063 2.128
ATOMIC_POSITIONS angstrom
Hf -3.054 -1.654 -1.720
Os -1.641 -1.032 1.064
Os -1.480 1.072 -1.244
Ag 0.067 -1.694 -1.540
Co 0.000 0.000 0.000


- Which of these has the highest DOS(E_F)?
  PuHf5Sc12


Copy entry 2 word for word.
! FeTcNi2 PBE relaxed; values from VASP
! DFT formation energy = 0.43 eV/f.u.
! Distance to the lowest polymorph of the same formula = 111 meV/atom
! DOS(E_F) = 5.304 states/eV per cell
! ρ = 9233 kg/m³
&SYSTEM
  ibrav = 0, nat = 4, ntyp = 3
/
ATOMIC_SPECIES
Fe 55.84 Fe.upf
Ni 58.69 Ni.upf
Tc 98.00 Tc.upf
CELL_PARAMETERS angstrom
-3.212 -5.169 5.934
-1.054 -6.499 5.376
-0.976 -4.564 7.104
ATOMIC_POSITIONS angstrom
Fe -3.932 -12.174 13.810
Ni -0.011 -0.034 0.039
Ni -2.610 -8.082 9.168
Tc -1.311 -4.058 4.603